The following is a DFT calculation (GGA-PBE) of crystalline Na2Tl2In15 at its relaxed geometry.

Cell: 8.278 8.278 8.278 Å, 81.90 81.90 81.90°
Sites, in units of the cell vectors:
Na 0.110 0.110 0.110
Na 0.890 0.890 0.890
Tl 0.372 0.372 0.372
Tl 0.628 0.628 0.628
In 0.000 0.000 0.500
In 0.000 0.297 0.703
In 0.000 0.500 0.000
In 0.000 0.703 0.297
In 0.151 0.635 0.635
In 0.297 0.000 0.703
In 0.297 0.703 0.000
In 0.365 0.365 0.849
In 0.365 0.849 0.365
In 0.500 0.000 0.000
In 0.635 0.151 0.635
In 0.635 0.635 0.151
In 0.703 0.000 0.297
In 0.703 0.297 0.000
In 0.849 0.365 0.365

For the energy above the most stable polymorph in this dataset, the calculation gives 0.008 eV/atom. The density of states at the Fermi level comes out at 7.9 states/eV/f.u. Its total energy is -2.527 eV/atom. The calculated volume comes out at 551.6 Å³/cell. Its energy of formation is 42.2 kJ/mol of formula units.